Entry 1:
The following is a DFT calculation (PBE-GGA) of a relaxed NaTm2Mn crystal.

The space group is P4/mmm (No. 123) and the conventional cell measures 3.4143, 3.4143 and 9.1648 Å, with angles of 90.00, 90.00 and 90.00 degrees. Symmetry generates all atoms from Na at (0.0000, 0.0000, 0.0000), Tm at (0.5000, 0.5000, 0.3202) and Mn at (0.0000, 0.0000, 0.5000).

For the uncorrected energy, the calculation gives -18.9 eV per formula unit. The formation energy comes out at 0.142 eV per atom. For the volume, the calculation gives 26.71 Å³ per atom.

---

Entry 2:
The following is a DFT calculation (PBE-GGA) of a relaxed Ba2ErRh3O12 crystal.

The space group is R-3m (No. 166, hexagonal axes) and the conventional cell measures 7.3029, 7.3029 and 16.6730 Å, with angles of 90.00, 90.00 and 120.00 degrees. Symmetry generates all atoms from Ba at (0.0000, 0.0000, 0.1135), Er at (0.0000, 0.0000, 0.5000), Rh at (0.0000, 0.5000, 0.0000), O at (0.0026, 0.5013, 0.8841) and O at (0.0548, 0.5274, 0.3304).

For the uncorrected energy, the calculation gives -114.5 eV per formula unit. The uncorrected formation energy comes out at -24.55 eV/f.u. For the volume, the calculation gives 14.26 Å³ per atom.

---

Entry 3:
The following is a DFT calculation (PBE-GGA) of a relaxed YZn2Tc crystal.

The space group is Fm-3m (No. 225) and the conventional cell measures 6.5565, 6.5565 and 6.5565 Å, with angles of 90.00, 90.00 and 90.00 degrees. Symmetry generates all atoms from Y at (0.0000, 0.0000, 0.0000), Zn at (0.2500, 0.2500, 0.2500) and Tc at (0.0000, 0.0000, 0.5000).

For the uncorrected energy, the calculation gives -19.3 eV per formula unit. The formation energy comes out at 0.009 eV per atom. For the volume, the calculation gives 17.62 Å³ per atom.

---

Entry 4:
The following is a DFT calculation (PBE-GGA) of a relaxed TbNdDy2Tm5 crystal.

The space group is I4/mcm (No. 140) and the conventional cell measures 8.8466, 8.8466 and 14.6111 Å, with angles of 90.00, 90.00 and 90.00 degrees. Symmetry generates all atoms from Tb at (0.0000, 0.5000, 0.2500), Nd at (0.0000, 0.0000, 0.2500), Dy at (0.1132, 0.3868, 0.0000), Tm at (0.0000, 0.0000, 0.0000) and Tm at (0.2054, 0.2946, 0.3677).

For the uncorrected energy, the calculation gives -38.4 eV per formula unit. The formation energy comes out at 0.286 eV per atom. For the volume, the calculation gives 31.76 Å³ per atom.

---

Entry 5:
The following is a DFT calculation (PBE-GGA) of a relaxed CeVIr crystal.

The space group is P2_13 (No. 198) and the conventional cell measures 6.4134, 6.4134 and 6.4134 Å, with angles of 90.00, 90.00 and 90.00 degrees. Symmetry generates all atoms from Ce at (0.1004, 0.3996, 0.6004), V at (0.0849, 0.9151, 0.4151) and Ir at (0.1974, 0.1974, 0.1974).

For the uncorrected energy, the calculation gives -24.5 eV per formula unit. The formation energy comes out at -0.203 eV per atom. For the volume, the calculation gives 21.98 Å³ per atom.

---

Entry 6:
The following is a DFT calculation (PBE-GGA) of a relaxed Sr2Tl2Ir crystal.

The space group is I4/mmm (No. 139) and the conventional cell measures 4.0925, 4.0925 and 19.4273 Å, with angles of 90.00, 90.00 and 90.00 degrees. Symmetry generates all atoms from Sr at (0.0000, 0.0000, 0.0843), Tl at (0.0000, 0.5000, 0.2500) and Ir at (0.0000, 0.0000, 0.5000).

For the uncorrected energy, the calculation gives -16.3 eV per formula unit. The formation energy comes out at 0.129 eV per atom. For the volume, the calculation gives 32.54 Å³ per atom.

---

Entry 7:
The following is a DFT calculation (PBE-GGA) of a relaxed Li5AlIn6 crystal.

The space group is C2/m (No. 12) and the conventional cell measures 9.0526, 13.6680 and 4.4989 Å, with angles of 90.00, 118.77 and 90.00 degrees. Symmetry generates all atoms from Li at (0.0000, 0.0000, 0.0000), Li at (0.0000, 0.1667, 0.5000), Li at (0.0000, 0.3403, 0.0000), Al at (0.0000, 0.5000, 0.5000), In at (0.2391, 0.0000, 0.7384) and In at (0.2457, 0.1674, 0.2434).

For the uncorrected energy, the calculation gives -32.1 eV per formula unit. The formation energy comes out at -0.197 eV per atom. For the volume, the calculation gives 20.33 Å³ per atom.

---

Entry 8:
The following is a DFT calculation (PBE-GGA) of a relaxed Zr7Ir2Pd2 crystal.

The space group is Cmmm (No. 65) and the conventional cell measures 7.4946, 9.8494 and 6.6828 Å, with angles of 90.00, 90.00 and 90.00 degrees. Symmetry generates all atoms from Zr at (0.0000, 0.0000, 0.0000), Zr at (0.0000, 0.5000, 0.2634), Zr at (0.2500, 0.2500, 0.2681), Ir at (0.0000, 0.2814, 0.0000) and Pd at (0.1809, 0.0000, 0.5000).

For the uncorrected energy, the calculation gives -90.6 eV per formula unit. The formation energy comes out at -0.237 eV per atom. For the volume, the calculation gives 22.42 Å³ per atom.

---

Entry 9:
The following is a DFT calculation (PBE-GGA) of a relaxed CrReMo2I crystal.

The space group is P4/mmm (No. 123) and the conventional cell measures 4.5796, 4.5796 and 4.5745 Å, with angles of 90.00, 90.00 and 90.00 degrees. Symmetry generates all atoms from Cr at (0.0000, 0.0000, 0.0000), Re at (0.0000, 0.0000, 0.5000), Mo at (0.0000, 0.5000, 0.0000) and I at (0.5000, 0.5000, 0.5000).

For the uncorrected energy, the calculation gives -37.1 eV per formula unit. The uncorrected formation energy comes out at 8.16 eV/f.u. For the volume, the calculation gives 19.19 Å³ per atom.

---

Entry 10:
The following is a DFT calculation (PBE-GGA) of a relaxed Tl12Cd3S5 crystal.

The space group is Ia-3d (No. 230) and the conventional cell measures 17.6865, 17.6865 and 17.6865 Å, with angles of 90.00, 90.00 and 90.00 degrees. Symmetry generates all atoms from Tl at (0.0200, 0.0681, 0.6540), Cd at (0.0000, 0.2500, 0.1250), S at (0.0000, 0.0000, 0.0000) and S at (0.0000, 0.2500, 0.3750).

For the uncorrected energy, the calculation gives -53.3 eV per formula unit. The uncorrected formation energy comes out at -1.54 eV/f.u. For the volume, the calculation gives 34.58 Å³ per atom.

---

Entry 11:
The following is a DFT calculation (PBE-GGA) of a relaxed CsAgAs2Br crystal.

The space group is P4/mmm (No. 123) and the conventional cell measures 5.0629, 5.0629 and 6.7239 Å, with angles of 90.00, 90.00 and 90.00 degrees. Symmetry generates all atoms from Cs at (0.0000, 0.0000, 0.0000), Ag at (0.5000, 0.5000, 0.5000), As at (0.0000, 0.5000, 0.5000) and Br at (0.5000, 0.5000, 0.0000).

For the uncorrected energy, the calculation gives -14.6 eV per formula unit. The uncorrected formation energy comes out at 0.12 eV/f.u. For the volume, the calculation gives 34.47 Å³ per atom.